This record from Alexandria via LeMat-Bulk describes crystalline KAsP at its relaxed geometry. The functional is PBE-GGA.

abc: 6.2550 6.2550 5.4446
angles: 90.00 90.00 90.00
Atoms (fractional coordinates):
P 0.5000 0.0000 0.7099
As 0.5000 0.0000 0.3255
P 0.0000 0.5000 0.2901
K 0.5000 0.5000 0.0000
K 0.0000 0.0000 0.0000
As 0.0000 0.5000 0.6745

Calculated values
As for the energy of formation: 39 meV/atom. For the raw total energy, the calculation gives -22.1 eV per cell.

This record from Alexandria via LeMat-Bulk describes crystalline K2AsP at its relaxed geometry. The functional is PBE-GGA.

abc: 5.3497 5.3497 5.3497
angles: 60.00 60.00 60.00
Atoms (fractional coordinates):
K 0.2500 0.2500 0.2500
P 0.7500 0.7500 0.7500
K 0.0000 0.0000 0.0000
As 0.5000 0.5000 0.5000

Calculated values
As for the energy of formation: 170 meV/atom. For the raw total energy, the calculation gives -11.6 eV per cell.

This record from Alexandria via LeMat-Bulk describes crystalline KAs3P at its relaxed geometry. The functional is PBE-GGA.

abc: 6.3036 6.0303 11.0363
angles: 90.00 133.31 90.00
Atoms (fractional coordinates):
As 0.6455 0.9999 0.8563
P 0.3922 0.2500 0.3196
As 0.6455 0.5002 0.8563
K 0.0155 0.2500 0.7512
K 0.9845 0.7500 0.2488
As 0.3545 0.4998 0.1437
As 0.8008 0.2500 0.3551
As 0.3545 0.0001 0.1437
P 0.6078 0.7500 0.6804
As 0.1992 0.7500 0.6449

Calculated values
As for the energy of formation: -79 meV/atom. For the raw total energy, the calculation gives -41.7 eV per cell.

This record from Alexandria via LeMat-Bulk describes crystalline KAs3P at its relaxed geometry. The functional is PBE-GGA.

abc: 5.3550 5.3550 5.3550
angles: 90.00 90.00 90.00
Atoms (fractional coordinates):
As 0.0000 0.0000 0.5000
As 0.0000 0.5000 0.0000
K 0.0000 0.0000 0.0000
As 0.5000 0.0000 0.0000
P 0.5000 0.5000 0.5000

Calculated values
As for the energy of formation: 2035 meV/atom. For the raw total energy, the calculation gives -10.3 eV per cell.

This record from Alexandria via LeMat-Bulk describes crystalline K2AsP at its relaxed geometry. The functional is PBE-GGA.

abc: 5.4372 5.4372 5.4372
angles: 60.00 60.00 60.00
Atoms (fractional coordinates):
K 0.2500 0.2500 0.2500
P 0.0000 0.0000 0.0000
As 0.5000 0.5000 0.5000
K 0.7500 0.7500 0.7500

Calculated values
As for the energy of formation: 255 meV/atom. For the raw total energy, the calculation gives -11.2 eV per cell.

This record from Alexandria via LeMat-Bulk describes crystalline K2AsP at its relaxed geometry. The functional is PBE-GGA.

abc: 3.5939 3.5939 9.9145
angles: 90.00 90.00 89.99
Atoms (fractional coordinates):
As 0.5000 0.5000 0.6631
K 0.0000 0.0000 0.9047
P 0.0000 0.0000 0.5855
K 0.5000 0.5000 0.3467

Calculated values
As for the energy of formation: -85 meV/atom. For the raw total energy, the calculation gives -12.6 eV per cell.

This record from Alexandria via LeMat-Bulk describes crystalline KAs2P at its relaxed geometry. The functional is PBE-GGA.

abc: 5.3291 5.3291 5.3291
angles: 130.11 130.11 73.23
Atoms (fractional coordinates):
As 0.0000 0.0000 0.0000
As 0.2500 0.7500 0.5000
K 0.5000 0.5000 0.0000
P 0.7500 0.2500 0.5000

Calculated values
As for the energy of formation: 438 meV/atom. For the raw total energy, the calculation gives -14.1 eV per cell.

This record from Alexandria via LeMat-Bulk describes crystalline K2AsP at its relaxed geometry. The functional is PBE-GGA.

abc: 4.2600 6.0939 6.0939
angles: 62.02 69.53 69.53
Atoms (fractional coordinates):
As 0.2500 0.1629 0.3371
K 0.0602 0.8699 0.0095
K 0.4398 0.4905 0.6301
P 0.7500 0.9767 0.5233

Calculated values
As for the energy of formation: -329 meV/atom. For the raw total energy, the calculation gives -13.6 eV per cell.

This record from Alexandria via LeMat-Bulk describes crystalline KAsP at its relaxed geometry. The functional is PBE-GGA.

abc: 6.3055 6.3057 3.4855
angles: 73.95 73.96 32.09
Atoms (fractional coordinates):
As 0.0505 0.0505 0.9495
K 0.3319 0.3319 0.6681
P 0.6176 0.6176 0.3824

Calculated values
As for the energy of formation: -175 meV/atom. For the raw total energy, the calculation gives -11.7 eV per cell.

This record from Alexandria via LeMat-Bulk describes crystalline KAsP at its relaxed geometry. The functional is PBE-GGA.

abc: 4.9909 3.5254 5.0854
angles: 90.00 101.44 90.00
Atoms (fractional coordinates):
K 0.1664 0.0000 0.4514
As 0.5583 0.5000 0.0541
P 0.7535 0.0000 0.8684

Calculated values
As for the energy of formation: -245 meV/atom. For the raw total energy, the calculation gives -11.9 eV per cell.

This record from Alexandria via LeMat-Bulk describes crystalline KAsP at its relaxed geometry. The functional is PBE-GGA.

abc: 4.8540 4.8540 6.8589
angles: 90.00 90.00 90.00
Atoms (fractional coordinates):
As 0.5000 0.0000 0.1327
As 0.0000 0.5000 0.8673
K 0.0000 0.5000 0.3396
K 0.5000 0.0000 0.6604
P 0.0000 0.0000 0.0000
P 0.5000 0.5000 0.0000

Calculated values
As for the energy of formation: -144 meV/atom. For the raw total energy, the calculation gives -23.2 eV per cell.

This record from Alexandria via LeMat-Bulk describes crystalline KAsP2 at its relaxed geometry. The functional is PBE-GGA.

abc: 6.5729 5.8303 2.6627
angles: 88.24 69.47 118.92
Atoms (fractional coordinates):
K 0.5000 0.5000 0.0000
P 0.5000 0.0000 0.5000
P 0.0000 0.0000 0.0000
As 0.0000 0.5000 0.5000

Calculated values
As for the energy of formation: 528 meV/atom. For the raw total energy, the calculation gives -14.5 eV per cell.